LiAlSe2Br: optimized geometry, PBE.

Computed properties:
Its relative energy among the computed polymorphs is 552 meV per atom. The value obtained for the formation energy without anion corrections is 0.060 eV per atom. As for the total energy: -0.206 Ry per atom.

Unit cell a=4.4607 b=4.4607 c=6.5121 alpha=90.00 beta=90.00 gamma=90.00
Sites, in units of the cell vectors:
Al 0.5000 0.5000 0.5000
Se 0.5000 0.0000 0.0000
Se 0.0000 0.5000 0.0000
Br 0.0000 0.0000 0.5000
Li 0.0000 0.0000 0.0000